This record from the Alexandria database describes TlSb2Br after structural relaxation. The functional is PBE.

## Properties
- offset from the most stable computed form (meV per atom) = 185
- energy (eV/cell) = -51.31
- magnetization (Bohr magnetons per cell) = 0.00
- formation energy (no corrections) (eV/atom) = -0.1356

Structure (CIF):
```
data_TlSb2Br
_chemical_formula_sum 'Tl4 Sb8 Br4'
_space_group_name_H-M_alt 'I -4 2 d'
_space_group_IT_number 122
_space_group_name_Hall 'I -4 2bw'
_cell_length_a 4.511
_cell_length_b 4.511
_cell_length_c 26.433
_cell_angle_alpha 90.00
_cell_angle_beta 90.00
_cell_angle_gamma 90.00
loop_
_atom_site_label
_atom_site_type_symbol
_atom_site_fract_x
_atom_site_fract_y
_atom_site_fract_z
Tl1 Tl 0.000 0.000 0.000
Sb1 Sb 0.201 0.250 0.125
Br1 Br 0.000 0.000 0.500
```